Record 1
Compound: Ti3TcOs2
Source: Alexandria
Functional: PBE
Structure: optimized geometry

Cell: 3.095 3.095 9.282 Å, 90.00 90.00 90.00°
Sites, in units of the cell vectors:
Ti 0.000 0.000 0.000
Ti 0.000 0.000 0.335
Ti 0.000 0.000 0.665
Tc 0.500 0.500 0.500
Os 0.500 0.500 0.166
Os 0.500 0.500 0.834

The formation energy is -652 meV/atom.

Record 2
Compound: UTiTcOs
Source: Alexandria
Functional: PBE
Structure: optimized geometry

Cell: 4.601 4.601 4.601 Å, 60.00 60.00 60.00°
Sites, in units of the cell vectors:
U 0.000 0.000 0.000
Ti 0.500 0.500 0.500
Tc 0.250 0.250 0.250
Os 0.750 0.750 0.750

The formation energy is -191 meV/atom.

Record 3
Compound: TiVTcOs
Source: Alexandria
Functional: PBE
Structure: optimized geometry

Cell: 4.324 4.324 4.324 Å, 60.00 60.00 60.00°
Sites, in units of the cell vectors:
Ti 0.000 0.000 0.000
V 0.500 0.500 0.500
Tc 0.750 0.750 0.750
Os 0.250 0.250 0.250

As for the energy above the lowest structure with this stoichiometry: 0.0000 eV per atom. The formation energy is -522 meV/atom.